The following is a PBE-GGA calculation of an optimized crystal structure of La4Er5Tm, from the Alexandria database.

The calculation puts the density of states at the Fermi level at 28.5 states/eV per cell. The energy above the lowest structure with this stoichiometry comes out at 0.030 eV/atom. For the total energy, the calculation gives -4.47 eV/atom. The calculation puts the energy of formation from the pure elements at 0.2270 eV/atom.

The structure belongs to space group I4mm (No. 107); the cell edges are 10.780, 10.780 and 5.972 Å and the angles 90.00°, 90.00° and 90.00°. The distinct sites, in fractional coordinates, are La at (0.000, 0.322, 0.000), Er at (0.000, 0.000, 0.251), Er at (0.188, 0.188, 0.510) and Tm at (0.000, 0.000, 0.768).